(1)
Tb3Er6Tm2Mg (PBE, relaxed); energy relative to the elements = 0.03 eV per atom; uncorrected energy = -51.40 eV/cell; size of the total moment = 0.0001 μB per atom; density = 8.43 g/cm³
1.0
-5.351 -1.416 -2.493
5.026 -2.934 -1.727
-1.626 -6.301 9.548
Tb Er Tm Mg
3 6 2 1
Direct
0.166 0.834 0.500
0.834 0.166 0.500
0.500 0.500 0.500
0.918 0.585 0.753
0.748 0.748 0.247
0.082 0.415 0.247
0.585 0.918 0.753
0.252 0.252 0.753
0.415 0.082 0.247
0.334 0.666 0.000
0.666 0.334 0.000
0.000 0.000 0.000

(2)
TbErTmMg (PBE, relaxed); energy relative to the elements = 0.04 eV per atom; uncorrected energy = -15.10 eV/cell; size of the total moment = 0.0001 μB per atom; density = 7.49 g/cm³; ΔE to the lowest computed polymorph = 0.063 eV per atom
1.0
-2.256 3.987 2.972
-3.972 -1.163 3.562
0.973 0.290 5.365
Mg Tm Tb Er
1 1 1 1
Direct
0.000 0.000 0.000
0.500 0.500 0.500
0.250 0.250 0.250
0.750 0.750 0.750

(3)
Tb6Er3Tm2Mg (PBE, relaxed); energy relative to the elements = 0.03 eV per atom; uncorrected energy = -51.66 eV/cell; size of the total moment = 0.0000 μB per atom; density = 8.23 g/cm³
1.0
-4.848 -3.624 -0.751
2.414 0.759 5.550
-6.093 9.838 0.178
Tb Er Tm Mg
6 3 2 1
Direct
0.918 0.585 0.752
0.748 0.748 0.249
0.082 0.415 0.248
0.585 0.918 0.752
0.252 0.252 0.751
0.415 0.082 0.248
0.166 0.834 0.500
0.834 0.166 0.500
0.500 0.500 0.500
0.334 0.666 0.000
0.666 0.334 0.000
0.000 0.000 0.000

(4)
Tb3Er2Tm6Mg (PBE, relaxed); energy relative to the elements = 0.03 eV per atom; uncorrected energy = -51.02 eV/cell; size of the total moment = 0.0003 μB per atom; density = 8.51 g/cm³
1.0
6.053 -0.002 0.004
-3.027 5.242 0.004
-1.025 -1.774 11.370
Tb Er Tm Mg
3 2 6 1
Direct
0.166 0.834 0.500
0.834 0.166 0.500
0.500 0.500 0.500
0.334 0.666 0.000
0.666 0.334 0.000
0.918 0.585 0.753
0.748 0.748 0.248
0.082 0.415 0.247
0.585 0.918 0.753
0.252 0.252 0.752
0.415 0.082 0.247
0.000 0.000 0.000

(5)
Tb2ErTm2Mg (PBE, relaxed); energy relative to the elements = 0.47 eV per atom; uncorrected energy = -43.03 eV/cell; size of the total moment = 0.0000 μB per atom; density = 6.62 g/cm³
1.0
3.597 0.000 0.000
0.000 11.710 0.000
0.000 0.000 10.086
Tb Er Tm Mg
4 2 4 2
Direct
0.500 0.779 0.401
0.500 0.221 0.599
0.000 0.721 0.901
0.000 0.279 0.099
0.500 0.500 0.000
0.000 0.000 0.500
0.500 0.073 0.250
0.000 0.573 0.250
0.500 0.927 0.750
0.000 0.427 0.750
0.000 0.000 0.000
0.500 0.500 0.500

(6)
Tb4Er2TmMg (PBE, relaxed); energy relative to the elements = 0.02 eV per atom; uncorrected energy = -33.57 eV/cell; size of the total moment = 0.0000 μB per atom; density = 7.97 g/cm³
1.0
-1.264 -4.272 -2.178
4.421 -0.157 -2.257
8.143 -5.145 5.366
Tb Er Tm Mg
4 2 1 1
Direct
0.000 0.748 0.752
0.000 0.252 0.248
0.500 0.751 0.248
0.500 0.249 0.752
0.000 0.000 0.000
0.500 0.000 0.500
0.000 0.500 0.500
0.500 0.500 0.000